[1]
The following is a DFT calculation (PBE-GGA) of an optimized crystal structure of Ti3Pt2Rh2.

Properties
space group: C2/m, No. 12

The structure in POSCAR format:
```
Ti3Pt2Rh2
1.0
-1.989 -4.160 0.988
4.504 1.152 -0.793
2.016 2.067 5.893
Ti Pt Rh
3 2 2
direct
0.000 0.000 0.000
0.597 0.402 0.708
0.403 0.598 0.292
0.131 0.869 0.414
0.869 0.131 0.586
0.697 0.303 0.126
0.303 0.697 0.874
```

[2]
The following is a DFT calculation (PBE-GGA) of an optimized crystal structure of Ti11Pt9Rh4.

Properties
space group: Cmmm, No. 65

The structure in POSCAR format:
```
Ti11Pt9Rh4
1.0
-2.700 -0.268 0.965
-3.154 -5.322 -10.309
3.858 -7.249 8.782
Ti Pt Rh
11 9 4
direct
0.000 0.599 0.953
0.000 0.401 0.047
0.000 0.953 0.599
0.000 0.047 0.401
0.000 0.625 0.375
0.000 0.375 0.625
0.000 0.826 0.174
0.000 0.174 0.826
0.000 0.000 0.000
0.000 0.725 0.725
0.000 0.275 0.275
0.500 0.619 0.159
0.500 0.381 0.841
0.500 0.159 0.619
0.500 0.841 0.381
0.500 0.802 0.959
0.500 0.198 0.041
0.500 0.959 0.802
0.500 0.041 0.198
0.500 0.500 0.500
0.500 0.566 0.757
0.500 0.434 0.243
0.500 0.757 0.566
0.500 0.243 0.434
```

[3]
The following is a DFT calculation (PBE-GGA) of an optimized crystal structure of Ti6PtRh3.

Properties
space group: P2_1/c, No. 14

The structure in POSCAR format:
```
Ti6PtRh3
1.0
-0.246 0.274 7.141
1.546 -5.802 0.276
7.480 2.016 0.497
Ti Pt Rh
12 2 6
direct
0.665 0.131 0.944
0.684 0.142 0.564
0.796 0.344 0.246
0.204 0.656 0.754
0.316 0.858 0.436
0.335 0.869 0.056
0.165 0.369 0.444
0.184 0.358 0.064
0.296 0.156 0.746
0.704 0.844 0.254
0.816 0.642 0.936
0.835 0.631 0.556
0.500 0.500 0.500
0.000 0.000 0.000
0.537 0.837 0.733
0.500 0.500 0.000
0.463 0.163 0.267
0.037 0.663 0.233
0.000 0.000 0.500
0.963 0.337 0.767
```

[4]
The following is a DFT calculation (PBE-GGA) of an optimized crystal structure of Ti4Pt5Rh4.

Properties
space group: I4/m, No. 87

The structure in POSCAR format:
```
Ti4Pt5Rh4
1.0
-1.388 1.950 3.129
-7.301 -0.654 -0.350
-0.348 -4.947 5.409
Ti Pt Rh
4 5 4
direct
0.759 0.372 0.109
0.241 0.628 0.891
0.869 0.891 0.372
0.131 0.109 0.628
0.692 0.865 0.752
0.308 0.135 0.248
0.000 0.000 0.000
0.556 0.752 0.135
0.444 0.248 0.865
0.909 0.473 0.709
0.618 0.291 0.473
0.091 0.527 0.291
0.382 0.709 0.527
```

[5]
The following is a DFT calculation (PBE-GGA) of an optimized crystal structure of Ti11Pt4Rh9.

Properties
space group: Cmmm, No. 65

The structure in POSCAR format:
```
Ti11Pt4Rh9
1.0
-0.265 0.905 2.790
-10.896 2.809 -1.945
0.265 -10.852 3.544
Ti Pt Rh
11 4 9
direct
0.000 0.586 0.939
0.000 0.414 0.061
0.000 0.939 0.586
0.000 0.061 0.414
0.000 0.622 0.378
0.000 0.378 0.622
0.000 0.807 0.193
0.000 0.193 0.807
0.000 0.000 0.000
0.000 0.803 0.803
0.000 0.197 0.197
0.500 0.594 0.747
0.500 0.406 0.253
0.500 0.747 0.594
0.500 0.253 0.406
0.500 0.614 0.165
0.500 0.386 0.835
0.500 0.165 0.614
0.500 0.835 0.386
0.500 0.788 0.996
0.500 0.212 0.004
0.500 0.996 0.788
0.500 0.004 0.212
0.500 0.500 0.500
```

[6]
The following is a DFT calculation (PBE-GGA) of an optimized crystal structure of Ti6Pt2Rh.

Properties
space group: Immm, No. 71

The structure in POSCAR format:
```
Ti6Pt2Rh
1.0
-1.782 -3.521 1.701
-1.687 -1.829 -5.553
7.327 -0.476 1.264
Ti Pt Rh
6 2 1
direct
0.165 0.413 0.330
0.835 0.083 0.670
0.835 0.587 0.670
0.500 0.246 0.000
0.165 0.917 0.330
0.500 0.754 0.000
0.667 0.667 0.333
0.333 0.333 0.667
0.000 0.000 0.000
```

Number 1: DFT total energy -56.34 eV per cell. Number 2: DFT total energy -191.03 eV per cell. Number 3: DFT total energy -159.46 eV per cell. Number 4: DFT total energy -101.37 eV per cell. Number 5: DFT total energy -195.86 eV per cell. Number 6: DFT total energy -70.27 eV per cell.